(i)
Entry from Alexandria: a geometry-optimized Nd2Sm2Zn structure (PBE).

Results
- V: 153.0 Å³/cell

abc: 11.6934 11.6934 11.6934
angles: 161.98 161.98 25.59
Sites, in units of the cell vectors:
Nd1 0.1931 0.1931 0.0000
Nd2 0.8069 0.8069 0.0000
Sm1 0.4216 0.4216 0.0000
Sm2 0.5784 0.5784 0.0000
Zn1 0.0000 0.0000 0.0000

***

(ii)
Entry from Alexandria: a geometry-optimized Nd2Sm2Zn structure (PBE).

Results
- V: 303.9 Å³/cell

abc: 6.3903 6.3903 8.2665
angles: 106.05 106.05 97.47
Sites, in units of the cell vectors:
Nd1 0.1603 0.1603 0.4115
Nd2 0.2766 0.2766 0.8766
Nd3 0.7234 0.7234 0.1234
Nd4 0.8397 0.8397 0.5885
Sm1 0.2347 0.6155 0.2664
Sm2 0.3845 0.7653 0.7336
Sm3 0.6155 0.2347 0.2664
Sm4 0.7653 0.3845 0.7336
Zn1 0.1423 0.8577 0.0000
Zn2 0.8577 0.1423 0.0000

***

(i) comes first in stability; the runner-up is 8.7 kJ/mol of atoms higher.

***

(i)
Entry from Alexandria: a geometry-optimized NdSm4Zn structure (PBE).

Results
- V: 373.3 Å³/cell

abc: 8.2095 8.2095 6.3727
angles: 100.21 100.21 113.32
Sites, in units of the cell vectors:
Nd1 0.0963 0.9037 0.7500
Nd2 0.9037 0.0963 0.2500
Sm1 0.1138 0.3343 0.8730
Sm2 0.2152 0.5765 0.4486
Sm3 0.3343 0.1138 0.3730
Sm4 0.4235 0.7848 0.0514
Sm5 0.5765 0.2152 0.9486
Sm6 0.6657 0.8862 0.6270
Sm7 0.7848 0.4235 0.5514
Sm8 0.8862 0.6657 0.1270
Zn1 0.5003 0.4997 0.2500
Zn2 0.4997 0.5003 0.7500

***

(ii)
Entry from Alexandria: a geometry-optimized NdSm4Zn structure (PBE).

Results
- V: 185.2 Å³/cell

abc: 3.6465 3.6465 13.9282
angles: 90.00 90.00 90.00
Sites, in units of the cell vectors:
Nd1 0.0000 0.0000 0.0000
Sm1 0.0000 0.0000 0.3709
Sm2 0.0000 0.0000 0.6291
Sm3 0.5000 0.5000 0.1850
Sm4 0.5000 0.5000 0.8150
Zn1 0.5000 0.5000 0.5000

***

(ii) comes first in stability; the runner-up is 9.0 kJ/mol of atoms higher.

***

(i)
Entry from Alexandria: a geometry-optimized NdSm3Zn structure (PBE).

Results
- V: 328.0 Å³/cell

abc: 7.4365 7.4365 7.9413
angles: 120.10 120.10 72.43
Sites, in units of the cell vectors:
Nd1 0.0474 0.0474 0.3105
Nd2 0.9526 0.9526 0.6895
Sm1 0.1015 0.4938 0.2655
Sm2 0.4235 0.4235 0.7296
Sm3 0.4938 0.1015 0.2655
Sm4 0.5062 0.8985 0.7345
Sm5 0.5765 0.5765 0.2704
Sm6 0.8985 0.5062 0.7345
Zn1 0.2669 0.2669 0.9125
Zn2 0.7331 0.7331 0.0875

***

(ii)
Entry from Alexandria: a geometry-optimized NdSm3Zn structure (PBE).

Results
- V: 304.2 Å³/cell

abc: 14.9412 14.9412 5.5709
angles: 90.32 90.32 14.16
Sites, in units of the cell vectors:
Nd1 0.2321 0.2321 0.2488
Nd2 0.7679 0.7679 0.7512
Sm1 0.1565 0.1565 0.7483
Sm2 0.3773 0.3773 0.7547
Sm3 0.4555 0.4555 0.2629
Sm4 0.5445 0.5445 0.7371
Sm5 0.6227 0.6227 0.2453
Sm6 0.8435 0.8435 0.2517
Zn1 0.0396 0.0396 0.2240
Zn2 0.9604 0.9604 0.7760

***

(ii) comes first in stability; the runner-up is 14.6 kJ/mol of atoms higher.

***

(i)
Entry from Alexandria: a geometry-optimized NdSm2Zn2 structure (PBE).

Results
- V: 265.0 Å³/cell

abc: 8.2296 8.2296 6.3454
angles: 90.00 90.00 141.93
Sites, in units of the cell vectors:
Nd1 0.0852 0.9148 0.5000
Nd2 0.9148 0.0852 0.0000
Sm1 0.2957 0.7043 0.2622
Sm2 0.4598 0.5402 0.6466
Sm3 0.5402 0.4598 0.1466
Sm4 0.7043 0.2957 0.7622
Zn1 0.1250 0.8750 0.9916
Zn2 0.2809 0.7191 0.7730
Zn3 0.7191 0.2809 0.2730
Zn4 0.8750 0.1250 0.4916

***

(ii)
Entry from Alexandria: a geometry-optimized NdSm2Zn2 structure (PBE).

Results
- V: 264.5 Å³/cell

abc: 3.7016 5.2834 13.6535
angles: 90.00 97.82 90.00
Sites, in units of the cell vectors:
Nd1 0.1439 0.2500 0.2843
Nd2 0.8561 0.7500 0.7157
Sm1 0.0464 0.7500 0.0927
Sm2 0.2321 0.7500 0.4650
Sm3 0.7679 0.2500 0.5350
Sm4 0.9536 0.2500 0.9073
Zn1 0.3591 0.2500 0.7201
Zn2 0.4519 0.7500 0.9050
Zn3 0.5481 0.2500 0.0950
Zn4 0.6409 0.7500 0.2799

***

(ii) comes first in stability; the runner-up is 5.7 kJ/mol of atoms higher.

***

(i)
Entry from Alexandria: a geometry-optimized Nd2Sm6Zn structure (PBE).

Results
- V: 290.9 Å³/cell

abc: 3.7383 9.4764 9.4764
angles: 119.96 90.00 90.00
Sites, in units of the cell vectors:
Nd1 0.0000 0.1667 0.8333
Nd2 0.0000 0.8333 0.1667
Sm1 0.0000 0.2433 0.4998
Sm2 0.0000 0.4998 0.2433
Sm3 0.0000 0.7568 0.7568
Sm4 0.5000 0.1163 0.1163
Sm5 0.5000 0.5001 0.8835
Sm6 0.5000 0.8835 0.5001
Zn1 0.5000 0.5002 0.5002

***

(ii)
Entry from Alexandria: a geometry-optimized Nd2Sm6Zn structure (PBE).

Results
- V: 575.0 Å³/cell

abc: 9.9690 10.4247 5.5327
angles: 90.00 90.00 90.00
Sites, in units of the cell vectors:
Nd1 0.1876 0.2494 0.0000
Nd2 0.3124 0.7494 0.5000
Nd3 0.6876 0.2506 0.5000
Nd4 0.8124 0.7506 0.0000
Sm1 0.0145 0.3075 0.5000
Sm2 0.1347 0.8971 0.0000
Sm3 0.1922 0.5729 0.0000
Sm4 0.3078 0.0729 0.5000
Sm5 0.3653 0.3971 0.5000
Sm6 0.4855 0.8075 0.0000
Sm7 0.5145 0.1925 0.0000
Sm8 0.6347 0.6029 0.5000
Sm9 0.6922 0.9271 0.5000
Sm10 0.8078 0.4271 0.0000
Sm11 0.8653 0.1029 0.0000
Sm12 0.9855 0.6925 0.5000
Zn1 0.0000 0.0000 0.5000
Zn2 0.5000 0.5000 0.0000

***

(i) comes first in stability; the runner-up is 5.7 kJ/mol of atoms higher.

***

(i)
Entry from Alexandria: a geometry-optimized NdSm3Zn8 structure (PBE).

Results
- V: 241.7 Å³/cell

abc: 5.6627 5.6627 8.7036
angles: 90.00 90.00 120.00
Sites, in units of the cell vectors:
Nd1 0.0000 0.0000 0.0000
Sm1 0.0000 0.0000 0.3942
Sm2 0.6667 0.3333 0.5019
Sm3 0.6667 0.3333 0.8940
Zn1 0.0020 0.5010 0.1984
Zn2 0.1688 0.3377 0.6959
Zn3 0.1688 0.8312 0.6959
Zn4 0.3333 0.6667 0.4464
Zn5 0.3333 0.6667 0.9481
Zn6 0.4990 0.5010 0.1984
Zn7 0.4990 0.9980 0.1984
Zn8 0.6623 0.8312 0.6959

***

(ii)
Entry from Alexandria: a geometry-optimized NdSm3Zn8 structure (PBE).

Results
- V: 241.3 Å³/cell

abc: 9.5832 9.5832 9.5832
angles: 33.70 33.70 33.70
Sites, in units of the cell vectors:
Nd1 0.0000 0.0000 0.0000
Sm1 0.3748 0.3748 0.3748
Sm2 0.4995 0.4995 0.4995
Sm3 0.8752 0.8752 0.8752
Zn1 0.1874 0.1874 0.1874
Zn2 0.4373 0.4372 0.9364
Zn3 0.4373 0.9364 0.4373
Zn4 0.4385 0.9373 0.9373
Zn5 0.6874 0.6874 0.6874
Zn6 0.9364 0.4373 0.4373
Zn7 0.9373 0.4385 0.9373
Zn8 0.9373 0.9373 0.4385

***

(ii) comes first in stability; the runner-up is 1.6 kJ/mol of atoms higher.

***

(i)
Entry from Alexandria: a geometry-optimized NdSm3Zn2 structure (PBE).

Results
- V: 165.6 Å³/cell

abc: 3.6477 3.6477 12.4451
angles: 90.00 90.00 90.00
Sites, in units of the cell vectors:
Nd1 0.0000 0.0000 0.0000
Sm1 0.5000 0.5000 0.2110
Sm2 0.5000 0.5000 0.5000
Sm3 0.5000 0.5000 0.7890
Zn1 0.0000 0.0000 0.3553
Zn2 0.0000 0.0000 0.6447

***

(ii)
Entry from Alexandria: a geometry-optimized NdSm3Zn2 structure (PBE).

Results
- V: 374.7 Å³/cell

abc: 8.8699 8.8699 8.8699
angles: 133.71 69.89 130.75
Sites, in units of the cell vectors:
Nd1 0.0000 0.0000 0.0000
Nd2 0.5000 0.5000 0.0000
Sm1 0.0226 0.2500 0.7726
Sm2 0.2500 0.7500 0.5000
Sm3 0.4774 0.2500 0.2274
Sm4 0.5226 0.7500 0.7726
Sm5 0.7500 0.2500 0.5000
Sm6 0.9774 0.7500 0.2274
Zn1 0.1398 0.7004 0.8402
Zn2 0.3602 0.2004 0.5607
Zn3 0.6398 0.7996 0.4393
Zn4 0.8602 0.2996 0.1598

***

(i) comes first in stability; the runner-up is 25.8 kJ/mol of atoms higher.

***

(i)
Entry from Alexandria: a geometry-optimized NdSm2Zr structure (PBE).

Results
- V: 124.0 Å³/cell

abc: 12.3717 12.3717 12.3717
angles: 15.91 15.91 15.91
Sites, in units of the cell vectors:
Nd1 0.0000 0.0000 0.0000
Sm1 0.4152 0.4152 0.4152
Sm2 0.5848 0.5848 0.5848
Zr1 0.5000 0.5000 0.5000

***

(ii)
Entry from Alexandria: a geometry-optimized NdSm2Zr structure (PBE).

Results
- V: 123.0 Å³/cell

abc: 5.5824 5.5824 5.5824
angles: 60.00 60.00 60.00
Sites, in units of the cell vectors:
Nd1 0.0000 0.0000 0.0000
Sm1 0.2500 0.2500 0.2500
Sm2 0.7500 0.7500 0.7500
Zr1 0.5000 0.5000 0.5000

***

(iii)
Entry from Alexandria: a geometry-optimized NdSm2Zr structure (PBE).

Results
- V: 122.4 Å³/cell

abc: 4.9569 4.9569 4.9807
angles: 90.00 90.00 90.00
Sites, in units of the cell vectors:
Nd1 0.0000 0.0000 0.0000
Sm1 0.0000 0.5000 0.5000
Sm2 0.5000 0.0000 0.5000
Zr1 0.5000 0.5000 0.0000

***

(iv)
Entry from Alexandria: a geometry-optimized NdSm2Zr structure (PBE).

Results
- V: 123.2 Å³/cell

abc: 4.0787 4.0787 7.4073
angles: 90.00 90.00 90.00
Sites, in units of the cell vectors:
Nd1 0.0000 0.0000 0.0000
Sm1 0.5000 0.5000 0.2805
Sm2 0.5000 0.5000 0.7195
Zr1 0.0000 0.0000 0.5000

***

(iii) comes first in stability; the runner-up is 4.9 kJ/mol of atoms higher.

***

(i)
Entry from Alexandria: a geometry-optimized NdSmZr structure (PBE).

Results
- V: 186.2 Å³/cell

abc: 3.8190 3.8337 12.7171
angles: 90.00 90.07 90.00
Sites, in units of the cell vectors:
Nd1 0.2495 0.2500 0.4036
Nd2 0.7505 0.7500 0.5964
Sm1 0.2518 0.2500 0.7934
Sm2 0.7482 0.7500 0.2066
Zr1 0.2496 0.2500 0.0504
Zr2 0.7504 0.7500 0.9496

***

(ii)
Entry from Alexandria: a geometry-optimized NdSmZr structure (PBE).

Results
- V: 89.9 Å³/cell

abc: 8.0034 8.0034 8.0034
angles: 155.23 155.23 35.31
Sites, in units of the cell vectors:
Nd1 0.0000 0.0000 0.0000
Sm1 0.6901 0.6901 0.0000
Zr1 0.3429 0.3429 0.0000

***

(iii)
Entry from Alexandria: a geometry-optimized NdSmZr structure (PBE).

Results
- V: 89.9 Å³/cell

abc: 3.4691 3.4691 8.6287
angles: 90.00 90.00 120.00
Sites, in units of the cell vectors:
Nd1 0.0000 0.0000 0.0000
Sm1 0.6667 0.3333 0.3773
Zr1 0.3333 0.6667 0.6863

***

(i) comes first in stability; the runner-up is 2.5 kJ/mol of atoms higher.

***

(i)
Entry from Alexandria: a geometry-optimized Nd2Sn3 structure (PBE).

Results
- V: 284.5 Å³/cell

abc: 7.8007 7.8007 4.6750
angles: 90.00 90.00 90.00
Sites, in units of the cell vectors:
Nd1 0.1457 0.6955 0.0000
Nd2 0.3045 0.1457 0.0000
Nd3 0.6955 0.8543 0.0000
Nd4 0.8543 0.3045 0.0000
Sn1 0.0000 0.0000 0.5000
Sn2 0.1721 0.3987 0.5000
Sn3 0.3987 0.8279 0.5000
Sn4 0.5000 0.5000 0.0000
Sn5 0.6013 0.1721 0.5000
Sn6 0.8279 0.6013 0.5000

***

(ii)
Entry from Alexandria: a geometry-optimized Nd2Sn3 structure (PBE).

Results
- V: 570.4 Å³/cell

abc: 6.4639 8.4986 11.2367
angles: 107.32 96.79 100.17
Sites, in units of the cell vectors:
Nd1 0.0401 0.2472 0.4427
Nd2 0.1252 0.2540 0.8843
Nd3 0.3318 0.5317 0.2444
Nd4 0.4442 0.0693 0.1636
Nd5 0.5558 0.9307 0.8364
Nd6 0.6682 0.4683 0.7556
Nd7 0.8748 0.7460 0.1157
Nd8 0.9599 0.7528 0.5573
Sn1 0.0461 0.8537 0.8802
Sn2 0.1770 0.5364 0.7224
Sn3 0.2219 0.9051 0.3639
Sn4 0.3237 0.1028 0.6394
Sn5 0.3574 0.6650 0.9992
Sn6 0.4392 0.6718 0.5511
Sn7 0.5608 0.3282 0.4489
Sn8 0.6426 0.3350 0.0008
Sn9 0.6763 0.8972 0.3606
Sn10 0.7781 0.0949 0.6361
Sn11 0.8230 0.4636 0.2776
Sn12 0.9539 0.1463 0.1198

***

(ii) comes first in stability; the runner-up is 4.0 kJ/mol of atoms higher.